Computed, not measured: crystalline PuCdRu at its relaxed geometry at the PBE level of DFT.

N(E_F), states/eV/cell: 6.49
Formation energy, eV/atom: 0.02
Size of the total moment, μB/f.u.: 4.58

a = 3.1767 Å, b = 3.1767 Å, c = 6.5497 Å
α = 104.03°, β = 104.03°, γ = 90.00°
Each line ends with the local moment (μB).
Fractional positions:
Cd 0.0204 0.0204 0.0408  0.00
Pu 0.3085 0.3085 0.6170  4.99
Ru 0.6711 0.6711 0.3422  -0.58